Entry 1:
A plane-wave DFT calculation with GGA-PBE was carried out for Cu2RePt after structural relaxation.

Formation enthalpy at 0 K (eV/atom): 0.22
Offset from the most stable computed form (eV/atom): 0.194
Total magnetization (μB per cell): 0.000

Geometry as POSCAR:
```
Cu2RePt
1.0
2.777 0.000 0.000
0.000 4.460 0.000
0.000 0.000 8.787
Cu Re Pt
4 2 2
Direct
0.000 0.000 0.000
0.000 0.500 0.271
0.500 0.000 0.771
0.500 0.500 0.500
0.000 0.000 0.515
0.500 0.500 0.015
0.000 0.500 0.754
0.500 0.000 0.254
```

Entry 2:
A plane-wave DFT calculation with GGA-PBE was carried out for TaZnH after structural relaxation.

Offset from the most stable computed form (eV/atom): 0.011
Total magnetization (μB per cell): 0.000

Geometry as POSCAR:
```
TaZnH
1.0
9.696 0.000 0.000
0.000 5.182 0.000
-0.963 0.000 2.904
Ta Zn H
4 4 4
Direct
0.231 0.000 0.232
0.269 0.500 0.768
0.731 0.500 0.232
0.769 0.000 0.768
0.000 0.256 0.500
0.000 0.768 0.500
0.500 0.268 0.500
0.500 0.756 0.500
0.166 0.641 0.165
0.334 0.141 0.835
0.666 0.141 0.165
0.834 0.641 0.835
```

Entry 3:
A plane-wave DFT calculation with GGA-PBE was carried out for EuDyYEr after structural relaxation.

Formation enthalpy at 0 K (eV/atom): 0.16
Total magnetization (μB per cell): 32.967

Geometry as POSCAR:
```
EuDyYEr
1.0
8.111 0.000 0.000
0.000 8.111 0.000
0.000 0.000 8.111
Eu Dy Y Er
4 4 4 4
Direct
0.000 0.000 0.000
0.000 0.500 0.500
0.500 0.000 0.500
0.500 0.500 0.000
0.250 0.250 0.750
0.250 0.750 0.250
0.750 0.250 0.250
0.750 0.750 0.750
0.250 0.250 0.250
0.250 0.750 0.750
0.750 0.250 0.750
0.750 0.750 0.250
0.000 0.000 0.500
0.000 0.500 0.000
0.500 0.000 0.000
0.500 0.500 0.500
```

Entry 4:
A plane-wave DFT calculation with GGA-PBE was carried out for Zr3AgRu after structural relaxation.

Formation enthalpy at 0 K (eV/atom): 0.37
Offset from the most stable computed form (eV/atom): 0.000
Total magnetization (μB per cell): 0.000

Geometry as POSCAR:
```
Zr3AgRu
1.0
5.007 0.000 0.000
0.000 5.007 0.000
0.000 0.000 5.007
Zr Ag Ru
3 1 1
Direct
0.000 0.000 0.500
0.000 0.500 0.000
0.500 0.000 0.000
0.500 0.500 0.500
0.000 0.000 0.000
```

Entry 5:
A plane-wave DFT calculation with GGA-PBE was carried out for SbOs2Au after structural relaxation.

Total magnetization (μB per cell): 0.000
Formation energy (no corrections) (eV per atom): 0.428

Geometry as POSCAR:
```
SbOs2Au
1.0
2.909 0.000 0.000
0.000 2.909 0.000
0.000 0.000 8.614
Sb Os Au
1 2 1
Direct
0.000 0.000 0.000
0.000 0.000 0.563
0.500 0.500 0.748
0.500 0.500 0.324
```

Entry 6:
A plane-wave DFT calculation with GGA-PBE was carried out for AlHgMo2 after structural relaxation.

Formation enthalpy at 0 K (eV/atom): 0.51
Offset from the most stable computed form (eV/atom): 0.356
Total magnetization (μB per cell): 0.000

Geometry as POSCAR:
```
AlHgMo2
1.0
6.437 0.000 0.000
0.000 6.437 0.000
0.000 0.000 6.437
Al Hg Mo
4 4 8
Direct
0.000 0.000 0.000
0.000 0.500 0.500
0.500 0.000 0.500
0.500 0.500 0.000
0.000 0.000 0.500
0.000 0.500 0.000
0.500 0.000 0.000
0.500 0.500 0.500
0.250 0.250 0.250
0.250 0.250 0.750
0.250 0.750 0.250
0.250 0.750 0.750
0.750 0.250 0.250
0.750 0.250 0.750
0.750 0.750 0.250
0.750 0.750 0.750
```